Record 1
! DyTm2ThN4 | Alexandria via LeMat-Bulk | PBE-GGA | relaxed; values from VASP
! total energy	-68.0	eV per formula unit
! E_form (uncorrected)	-1714	meV per atom
! symmetry	P2/m, No. 10
! density	10.87	g/cm3
! volume	120	Å³ per cell
&SYSTEM
  ibrav = 0, nat = 8, ntyp = 4
/
ATOMIC_SPECIES
Dy 162.50 Dy.upf
Tm 168.93 Tm.upf
Th 232.04 Th.upf
N 14.01 N.upf
CELL_PARAMETERS angstrom
6.041 0.000 0.000
0.000 3.497 0.000
-1.999 0.000 5.702
ATOMIC_POSITIONS crystal
Dy 0.000 0.000 0.000
Tm 0.000 0.500 0.500
Tm 0.500 0.000 0.500
Th 0.500 0.500 0.000
N 0.245 0.000 0.742
N 0.252 0.500 0.255
N 0.748 0.500 0.745
N 0.755 0.000 0.258



Record 2
! Dy2ThUN4 | Alexandria via LeMat-Bulk | PBE-GGA | relaxed; values from VASP
! total energy	-73.6	eV per formula unit
! E_form (uncorrected)	-1548	meV per atom
! symmetry	P2/m, No. 10
! density	11.53	g/cm3
! volume	123	Å³ per cell
&SYSTEM
  ibrav = 0, nat = 8, ntyp = 4
/
ATOMIC_SPECIES
Dy 162.50 Dy.upf
Th 232.04 Th.upf
U 238.03 U.upf
N 14.01 N.upf
CELL_PARAMETERS angstrom
6.069 0.000 0.000
0.000 3.505 0.000
-2.006 0.000 5.762
ATOMIC_POSITIONS crystal
Dy 0.000 0.000 0.000
Dy 0.000 0.500 0.500
Th 0.500 0.000 0.500
U 0.500 0.500 0.000
N 0.256 0.500 0.231
N 0.260 0.000 0.768
N 0.740 0.000 0.232
N 0.744 0.500 0.769



Record 3
! Dy2Th3UN6 | Alexandria via LeMat-Bulk | PBE-GGA | relaxed; values from VASP
! total energy	-111.5	eV per formula unit
! E_form (uncorrected)	-1570	meV per atom
! symmetry	C2/m, No. 12
! density	11.73	g/cm3
! volume	190	Å³ per cell
&SYSTEM
  ibrav = 0, nat = 12, ntyp = 4
/
ATOMIC_SPECIES
Dy 162.50 Dy.upf
Th 232.04 Th.upf
U 238.03 U.upf
N 14.01 N.upf
CELL_PARAMETERS angstrom
3.060 -5.293 0.000
3.060 5.293 0.000
-2.041 0.000 5.871
ATOMIC_POSITIONS crystal
Dy 0.167 0.833 0.000
Dy 0.833 0.167 0.000
Th 0.000 0.000 0.500
Th 0.332 0.668 0.500
Th 0.668 0.332 0.500
U 0.500 0.500 0.000
N 0.111 0.425 0.777
N 0.261 0.261 0.229
N 0.425 0.111 0.777
N 0.575 0.889 0.223
N 0.739 0.739 0.771
N 0.889 0.575 0.223



Record 4
! DyTh2WN5 | Alexandria via LeMat-Bulk | PBE-GGA | relaxed; values from VASP
! total energy	-83.7	eV per formula unit
! E_form (uncorrected)	-1070	meV per atom
! symmetry	P4/mbm, No. 127
! density	10.61	g/cm3
! volume	276	Å³ per cell
&SYSTEM
  ibrav = 0, nat = 18, ntyp = 4
/
ATOMIC_SPECIES
Dy 162.50 Dy.upf
Th 232.04 Th.upf
W 183.84 W.upf
N 14.01 N.upf
CELL_PARAMETERS angstrom
6.824 0.000 0.000
0.000 6.824 0.000
0.000 0.000 5.919
ATOMIC_POSITIONS crystal
Dy 0.000 0.000 0.000
Dy 0.500 0.500 0.000
Th 0.171 0.329 0.500
Th 0.329 0.829 0.500
Th 0.671 0.171 0.500
Th 0.829 0.671 0.500
W 0.000 0.500 0.000
W 0.500 0.000 0.000
N 0.000 0.000 0.500
N 0.144 0.644 0.234
N 0.144 0.644 0.766
N 0.356 0.144 0.234
N 0.356 0.144 0.766
N 0.500 0.500 0.500
N 0.644 0.856 0.234
N 0.644 0.856 0.766
N 0.856 0.356 0.234
N 0.856 0.356 0.766